(1)
A plane-wave DFT calculation with GGA-PBE was carried out for a geometry-optimized K2TlNi structure.

Unit cell a=6.4830 b=6.4830 c=5.0381 alpha=67.11 beta=67.11 gamma=39.50
Atoms (fractional coordinates):
1 K 0.4701 0.4701 0.5298
2 K 0.0299 0.0299 0.9702
3 Tl 0.2500 0.2500 0.2500
4 Ni 0.7500 0.7500 0.7500

ρ: 4.6 g cm⁻³
DFT formation energy: 2.05 eV/f.u.
N(E_F): 0.713 states/eV per atom
Magnetic moment: 0.000 μB per cell
Energy above the lowest structure with this stoichiometry: 0.3437 eV/atom



(2)
A plane-wave DFT calculation with GGA-PBE was carried out for a geometry-optimized SnOsPd3 structure.

Unit cell a=4.8470 b=4.8470 c=4.8470 alpha=90.00 beta=90.00 gamma=90.00
Atoms (fractional coordinates):
1 Sn 0.5000 0.5000 0.5000
2 Pd 0.0000 0.0000 0.5000
3 Os 0.0000 0.0000 0.0000
4 Pd 0.5000 0.0000 0.0000
5 Pd 0.0000 0.5000 0.0000

ρ: 9.2 g cm⁻³
DFT formation energy: 5.20 eV/f.u.
N(E_F): 1.738 states/eV per atom
Magnetic moment: 0.004 μB per cell
Energy above the lowest structure with this stoichiometry: 0.0000 eV/atom



(3)
A plane-wave DFT calculation with GGA-PBE was carried out for a geometry-optimized Cd2TeRu structure.

Unit cell a=3.8154 b=3.8155 c=5.6743 alpha=90.00 beta=90.00 gamma=90.00
Atoms (fractional coordinates):
1 Cd 0.0000 0.0000 0.4833
2 Te 0.5000 0.5000 0.7500
3 Cd 0.0000 0.0000 0.0167
4 Ru 0.5000 0.5000 0.2500

ρ: 9.1 g cm⁻³
N(E_F): 0.815 states/eV per atom
Magnetic moment: 0.003 μB per cell
Formation energy (no corrections): 0.3336 eV/atom
Energy above the lowest structure with this stoichiometry: 0.2883 eV/atom



(4)
A plane-wave DFT calculation with GGA-PBE was carried out for a geometry-optimized CuNi2S2 structure.

Unit cell a=3.5661 b=3.5661 c=6.2099 alpha=73.31 beta=73.31 gamma=90.00
Atoms (fractional coordinates):
1 S 0.3713 0.3713 0.2573
2 Ni 0.2500 0.7500 0.5000
3 S 0.6287 0.6287 0.7427
4 Ni 0.7500 0.2500 0.5000
5 Cu 0.0000 0.0000 0.0000

ρ: 5.6 g cm⁻³
N(E_F): 1.054 states/eV per atom
Magnetic moment: 0.000 μB per cell
Formation energy (no corrections): 0.0649 eV/atom
Energy above the lowest structure with this stoichiometry: 0.2721 eV/atom



(5)
A plane-wave DFT calculation with GGA-PBE was carried out for a geometry-optimized NiOs3 structure.

Unit cell a=3.7601 b=4.6854 c=3.7601 alpha=66.34 beta=90.00 gamma=113.66
Atoms (fractional coordinates):
1 Os 0.2500 0.5000 0.2500
2 Ni 0.0000 0.0000 0.0000
3 Os 0.7500 0.5000 0.7500
4 Os 0.5000 0.0000 0.5000

ρ: 19.2 g cm⁻³
DFT formation energy: 0.88 eV/f.u.
N(E_F): 1.086 states/eV per atom
Magnetic moment: 0.000 μB per cell



(6)
A plane-wave DFT calculation with GGA-PBE was carried out for a geometry-optimized K2CuIO structure.

Unit cell a=5.8806 b=5.8806 c=3.7532 alpha=90.00 beta=90.00 gamma=90.00
Atoms (fractional coordinates):
1 O 0.0000 0.0000 0.0000
2 K 0.0000 0.5000 0.0000
3 Cu 0.0000 0.0000 0.5000
4 I 0.5000 0.5000 0.5000
5 K 0.5000 0.0000 0.0000

ρ: 3.6 g cm⁻³
Magnetic moment: 0.000 μB per cell
Formation energy (no corrections): -1.0437 eV/atom
Energy above the lowest structure with this stoichiometry: 0.0000 eV/atom



(7)
A plane-wave DFT calculation with GGA-PBE was carried out for a geometry-optimized HgIrSe2 structure.

Unit cell a=5.1868 b=5.1868 c=5.1868 alpha=131.82 beta=131.82 gamma=70.52
Atoms (fractional coordinates):
1 Se 0.2500 0.7500 0.5000
2 Ir 0.7500 0.2500 0.5000
3 Se 0.0000 0.0000 0.0000
4 Hg 0.5000 0.5000 0.0000

ρ: 12.0 g cm⁻³
N(E_F): 0.861 states/eV per atom
Magnetic moment: 0.000 μB per cell
Formation energy (no corrections): 0.7229 eV/atom



(8)
A plane-wave DFT calculation with GGA-PBE was carried out for a geometry-optimized TiCdIF2 structure.

Unit cell a=4.7732 b=5.1687 c=4.7732 alpha=90.00 beta=90.00 gamma=90.00
Site moments in Bohr magnetons follow the coordinates.
Atoms (fractional coordinates):
1 Cd 0.5000 0.5000 0.5000  0.00
2 F 0.5000 0.0000 0.0000  0.01
3 F 0.0000 0.0000 0.5000  0.01
4 Ti 0.0000 0.5000 0.0000  -0.19
5 I 0.0000 0.0000 0.0000  0.04

ρ: 4.6 g cm⁻³
N(E_F): 1.318 states/eV per atom
Magnetic moment: 0.160 μB per cell
Formation energy (no corrections): -0.2699 eV/atom



(9)
A plane-wave DFT calculation with GGA-PBE was carried out for a geometry-optimized Sc2AlSnC structure.

Unit cell a=4.6128 b=4.6128 c=4.0594 alpha=90.00 beta=90.00 gamma=90.00
Atoms (fractional coordinates):
1 Sc 0.0000 0.5000 0.0000
2 Sn 0.5000 0.5000 0.5000
3 Sc 0.5000 0.0000 0.0000
4 C 0.0000 0.0000 0.0000
5 Al 0.0000 0.0000 0.5000

ρ: 4.8 g cm⁻³
DFT formation energy: -2.60 eV/f.u.
N(E_F): 0.595 states/eV per atom
Magnetic moment: 0.000 μB per cell



(10)
A plane-wave DFT calculation with GGA-PBE was carried out for a geometry-optimized LiYTmSc structure.

Unit cell a=5.3146 b=5.3146 c=5.3146 alpha=60.00 beta=60.00 gamma=60.00
Atoms (fractional coordinates):
1 Tm 0.2500 0.2500 0.2500
2 Y 0.7500 0.7500 0.7500
3 Sc 0.5000 0.5000 0.5000
4 Li 0.0000 0.0000 0.0000

ρ: 4.8 g cm⁻³
DFT formation energy: 0.64 eV/f.u.
N(E_F): 0.977 states/eV per atom
Magnetic moment: 0.000 μB per cell



(11)
A plane-wave DFT calculation with GGA-PBE was carried out for a geometry-optimized Sc3Ir2Ru structure.

Unit cell a=4.5501 b=4.5501 c=11.1467 alpha=90.00 beta=90.00 gamma=120.00
Atoms (fractional coordinates):
1 Sc 0.0000 0.0000 0.7481
2 Ru 0.3333 0.6667 0.6674
3 Ir 0.3333 0.6667 0.1664
4 Ir 0.0000 0.0000 0.5000
5 Ir 0.0000 0.0000 0.0000
6 Ru 0.6667 0.3333 0.3326
7 Sc 0.6667 0.3333 0.5829
8 Sc 0.3333 0.6667 0.9151
9 Ir 0.6667 0.3333 0.8336
10 Sc 0.6667 0.3333 0.0849
11 Sc 0.0000 0.0000 0.2519
12 Sc 0.3333 0.6667 0.4171

ρ: 10.3 g cm⁻³
DFT formation energy: -5.46 eV/f.u.
N(E_F): 0.289 states/eV per atom
Magnetic moment: 0.000 μB per cell



(12)
A plane-wave DFT calculation with GGA-PBE was carried out for a geometry-optimized RbTiTe2N structure.

Unit cell a=6.0296 b=6.0296 c=3.7363 alpha=90.00 beta=90.00 gamma=90.00
Atoms (fractional coordinates):
1 Te 0.0000 0.5000 0.0000
2 Te 0.5000 0.0000 0.0000
3 Ti 0.0000 0.0000 0.0000
4 N 0.0000 0.0000 0.5000
5 Rb 0.5000 0.5000 0.5000

ρ: 4.9 g cm⁻³
N(E_F): 0.568 states/eV per atom
Magnetic moment: 0.000 μB per cell
Formation energy (no corrections): -0.3570 eV/atom
Energy above the lowest structure with this stoichiometry: 0.0000 eV/atom



(13)
A plane-wave DFT calculation with GGA-PBE was carried out for a geometry-optimized LaZn3Au structure.

Unit cell a=6.0490 b=6.4524 c=5.9681 alpha=117.55 beta=90.00 gamma=90.00
Atoms (fractional coordinates):
1 Au 0.2500 0.7098 0.3549
2 La 0.2500 0.5000 0.7500
3 Zn 0.5000 0.0000 0.2526
4 Zn 0.5000 0.0000 0.7474
5 Zn 0.0000 0.0000 0.7474
6 Zn 0.7500 0.7474 0.8737
7 Zn 0.0000 0.0000 0.2526
8 Zn 0.2500 0.2526 0.1263
9 La 0.7500 0.5000 0.2500
10 Au 0.7500 0.2902 0.6451

ρ: 8.6 g cm⁻³
DFT formation energy: -2.27 eV/f.u.
N(E_F): 0.537 states/eV per atom
Magnetic moment: 0.000 μB per cell
Energy above the lowest structure with this stoichiometry: 0.0000 eV/atom



(14)
A plane-wave DFT calculation with GGA-PBE was carried out for a geometry-optimized Ti8Bi2S structure.

Unit cell a=4.6457 b=5.6956 c=8.6392 alpha=113.34 beta=105.60 gamma=90.00
Atoms (fractional coordinates):
1 Ti 0.6373 0.0114 0.2745
2 S 0.5000 0.0000 0.0000
3 Ti 0.7761 0.6752 0.5521
4 Ti 0.4211 0.5440 0.8422
5 Ti 0.5789 0.4560 0.1578
6 Ti 0.0052 0.7622 0.0104
7 Ti 0.2239 0.3248 0.4479
8 Ti 0.3627 0.9886 0.7255
9 Bi 0.1709 0.7387 0.3418
10 Bi 0.8291 0.2613 0.6582
11 Ti 0.9948 0.2378 0.9896

ρ: 6.9 g cm⁻³
N(E_F): 1.066 states/eV per atom
Magnetic moment: 0.000 μB per cell
Formation energy (no corrections): -0.1961 eV/atom



(15)
A plane-wave DFT calculation with GGA-PBE was carried out for a geometry-optimized Tl2HgOs structure.

Unit cell a=4.4883 b=3.5637 c=5.8274 alpha=72.09 beta=90.00 gamma=90.00
Atoms (fractional coordinates):
1 Hg 0.0000 0.6969 0.4790
2 Os 0.5000 0.5438 0.7917
3 Tl 0.0000 0.9750 0.9248
4 Tl 0.5000 0.2843 0.3045

ρ: 15.0 g cm⁻³
DFT formation energy: 3.06 eV/f.u.
N(E_F): 0.572 states/eV per atom
Magnetic moment: 0.000 μB per cell
Energy above the lowest structure with this stoichiometry: 0.1671 eV/atom



(16)
A plane-wave DFT calculation with GGA-PBE was carried out for a geometry-optimized CsTl2AgGe structure.

Unit cell a=5.8806 b=5.8806 c=5.1001 alpha=90.00 beta=90.00 gamma=90.00
Atoms (fractional coordinates):
1 Ge 0.0000 0.0000 0.0000
2 Tl 0.5000 0.0000 0.0000
3 Tl 0.0000 0.5000 0.0000
4 Ag 0.0000 0.0000 0.5000
5 Cs 0.5000 0.5000 0.5000

ρ: 6.8 g cm⁻³
DFT formation energy: 0.70 eV/f.u.
N(E_F): 0.631 states/eV per atom
Magnetic moment: 0.000 μB per cell



(17)
A plane-wave DFT calculation with GGA-PBE was carried out for a geometry-optimized Sr2Ag2BiO6 structure.

Unit cell a=6.4128 b=6.4128 c=6.6031 alpha=60.95 beta=60.95 gamma=60.00
Site moments in Bohr magnetons follow the coordinates.
Atoms (fractional coordinates):
1 Sr 0.2069 0.2069 0.3792  0.00
2 O 0.2317 0.2317 0.7350  -0.07
3 Ag 0.5889 0.5889 0.2333  -0.10
4 O 0.2317 0.8016 0.7350  -0.07
5 O 0.8016 0.2317 0.7350  -0.07
6 Ag 0.4111 0.4111 0.7667  -0.10
7 O 0.7683 0.7683 0.2650  -0.07
8 Sr 0.7931 0.7931 0.6208  0.00
9 O 0.7683 0.1984 0.2650  -0.07
10 Bi 0.0000 0.0000 0.0000  0.01
11 O 0.1984 0.7683 0.2650  -0.07

ρ: 5.9 g cm⁻³
N(E_F): 0.926 states/eV per atom
Magnetic moment: 0.656 μB per cell
Formation energy (no corrections): -1.1566 eV/atom



(18)
A plane-wave DFT calculation with GGA-PBE was carried out for a geometry-optimized Ba4Na3Ir structure.

Unit cell a=12.2150 b=10.0440 c=12.3678 alpha=90.00 beta=90.00 gamma=90.00
Atoms (fractional coordinates):
1 Ba 0.1839 0.9801 0.5823
2 Ba 0.3921 0.0487 0.2500
3 Ir 0.3636 0.9615 0.7500
4 Ba 0.8161 0.0199 0.0823
5 Ba 0.6839 0.5199 0.5823
6 Ba 0.6839 0.5199 0.9177
7 Na 0.5511 0.1652 0.0178
8 Na 0.9489 0.6652 0.5178
9 Ba 0.8921 0.4513 0.2500
10 Ba 0.6190 0.7432 0.2500
11 Na 0.9489 0.6652 0.9822
12 Na 0.0511 0.3348 0.4822
13 Ba 0.3161 0.4801 0.0823
14 Ba 0.8161 0.0199 0.4177
15 Ir 0.8636 0.5385 0.7500
16 Na 0.4489 0.8348 0.5178
17 Ba 0.8810 0.2432 0.7500
18 Na 0.8986 0.8320 0.7500
19 Na 0.6014 0.3320 0.2500
20 Ba 0.1839 0.9801 0.9177
21 Na 0.1014 0.1680 0.2500
22 Ba 0.1190 0.7568 0.2500
23 Ba 0.3161 0.4801 0.4177
24 Na 0.3986 0.6680 0.7500
25 Ba 0.3810 0.2568 0.7500
26 Ba 0.6079 0.9513 0.7500
27 Ir 0.6364 0.0385 0.2500
28 Ir 0.1364 0.4615 0.2500
29 Na 0.4489 0.8348 0.9822
30 Na 0.0511 0.3348 0.0178
31 Ba 0.1079 0.5487 0.7500
32 Na 0.5511 0.1652 0.4822

ρ: 3.5 g cm⁻³
DFT formation energy: 0.15 eV/f.u.
N(E_F): 0.745 states/eV per atom
Magnetic moment: 0.000 μB per cell



(19)
A plane-wave DFT calculation with GGA-PBE was carried out for a geometry-optimized TbSm2DySe5 structure.

Unit cell a=5.1745 b=5.1745 c=10.7629 alpha=90.00 beta=90.00 gamma=90.00
Atoms (fractional coordinates):
1 Se 0.5000 0.5000 0.0000
2 Se 0.0000 0.0000 0.2452
3 Se 0.5000 0.0000 0.5000
4 Dy 0.0000 0.0000 0.0000
5 Tb 0.0000 0.0000 0.5000
6 Se 0.0000 0.0000 0.7548
7 Se 0.0000 0.5000 0.5000
8 Sm 0.5000 0.5000 0.3324
9 Sm 0.5000 0.5000 0.6676

ρ: 5.9 g cm⁻³
N(E_F): 0.642 states/eV per atom
Magnetic moment: 0.102 μB per cell
Formation energy (no corrections): -1.1849 eV/atom



(20)
A plane-wave DFT calculation with GGA-PBE was carried out for a geometry-optimized VTc2 structure.

Unit cell a=3.0353 b=3.0353 c=5.0798 alpha=107.38 beta=107.38 gamma=90.00
Atoms (fractional coordinates):
1 Tc 0.6597 0.6597 0.3194
2 Tc 0.3403 0.3403 0.6806
3 V 0.0000 0.0000 0.0000

ρ: 9.7 g cm⁻³
DFT formation energy: -0.54 eV/f.u.
N(E_F): 0.765 states/eV per atom
Magnetic moment: 0.000 μB per cell
Energy above the lowest structure with this stoichiometry: 0.0000 eV/atom



(21)
A plane-wave DFT calculation with GGA-PBE was carried out for a geometry-optimized Zr3Al3N structure.

Unit cell a=8.7092 b=8.7092 c=8.7092 alpha=60.00 beta=60.00 gamma=60.00
Atoms (fractional coordinates):
1 Zr 0.0652 0.4348 0.4348
2 Zr 0.8152 0.1848 0.1848
3 N 0.1250 0.1250 0.6250
4 Zr 0.0652 0.0652 0.4348
5 Al 0.6250 0.6250 0.6250
6 Al 0.4158 0.4158 0.7527
7 N 0.6250 0.1250 0.1250
8 Zr 0.4348 0.0652 0.0652
9 Zr 0.4348 0.0652 0.4348
10 Al 0.7527 0.4158 0.4158
11 N 0.1250 0.1250 0.1250
12 Al 0.4973 0.8342 0.8342
13 Al 0.1250 0.6250 0.6250
14 Zr 0.8152 0.1848 0.8152
15 Zr 0.1848 0.8152 0.8152
16 Al 0.8342 0.4973 0.8342
17 Zr 0.4348 0.4348 0.0652
18 Al 0.8342 0.8342 0.8342
19 Zr 0.1848 0.1848 0.8152
20 Al 0.4158 0.4158 0.4158
21 N 0.1250 0.6250 0.1250
22 Al 0.6250 0.1250 0.6250
23 Zr 0.8152 0.8152 0.1848
24 Al 0.6250 0.6250 0.1250
25 Al 0.4158 0.7527 0.4158
26 Zr 0.1848 0.8152 0.1848
27 Zr 0.0652 0.4348 0.0652
28 Al 0.8342 0.8342 0.4973

ρ: 5.2 g cm⁻³
N(E_F): 0.494 states/eV per atom
Magnetic moment: 0.000 μB per cell
Formation energy (no corrections): -0.8417 eV/atom



(22)
A plane-wave DFT calculation with GGA-PBE was carried out for a geometry-optimized NdY2Mg5 structure.

Unit cell a=5.2939 b=5.2939 c=8.4885 alpha=108.17 beta=108.17 gamma=90.00
Atoms (fractional coordinates):
1 Mg 0.3783 0.8783 0.7566
2 Nd 0.0000 0.0000 0.0000
3 Mg 0.1217 0.6217 0.2434
4 Y 0.2587 0.2587 0.5174
5 Mg 0.6217 0.1217 0.2434
6 Mg 0.8783 0.3783 0.7566
7 Mg 0.5000 0.5000 0.0000
8 Y 0.7413 0.7413 0.4826

ρ: 3.4 g cm⁻³
DFT formation energy: -0.83 eV/f.u.
N(E_F): 0.726 states/eV per atom
Magnetic moment: 0.154 μB per cell



(23)
A plane-wave DFT calculation with GGA-PBE was carried out for a geometry-optimized Sm2NiS structure.

Unit cell a=3.9226 b=3.9226 c=7.4506 alpha=74.74 beta=74.74 gamma=60.00
Atoms (fractional coordinates):
1 Ni 0.6668 0.6668 0.9995
2 S 0.4995 0.4995 0.5015
3 Sm 0.2570 0.2570 0.2291
4 Sm 0.0767 0.0767 0.7699

ρ: 6.9 g cm⁻³
N(E_F): 0.473 states/eV per atom
Magnetic moment: 0.000 μB per cell
Formation energy (no corrections): -1.0117 eV/atom
Energy above the lowest structure with this stoichiometry: 0.1692 eV/atom



(24)
A plane-wave DFT calculation with GGA-PBE was carried out for a geometry-optimized BeCdOs structure.

Unit cell a=2.8041 b=2.8041 c=6.5235 alpha=90.00 beta=90.00 gamma=120.00
Atoms (fractional coordinates):
1 Cd 0.6667 0.3333 0.3232
2 Be 0.0000 0.0000 0.9662
3 Os 0.3333 0.6667 0.7105

ρ: 11.7 g cm⁻³
DFT formation energy: 1.15 eV/f.u.
N(E_F): 0.360 states/eV per atom
Magnetic moment: 0.000 μB per cell
Energy above the lowest structure with this stoichiometry: 0.1119 eV/atom



(25)
A plane-wave DFT calculation with GGA-PBE was carried out for a geometry-optimized ZrSi2As structure.

Unit cell a=4.6784 b=4.6784 c=4.6784 alpha=60.00 beta=60.00 gamma=60.00
Atoms (fractional coordinates):
1 Zr 0.5000 0.5000 0.5000
2 Si 0.7500 0.7500 0.7500
3 As 0.0000 0.0000 0.0000
4 Si 0.2500 0.2500 0.2500

ρ: 5.1 g cm⁻³
N(E_F): 0.825 states/eV per atom
Magnetic moment: 0.000 μB per cell
Formation energy (no corrections): 0.2591 eV/atom
Energy above the lowest structure with this stoichiometry: 0.6103 eV/atom